Record 1
Compound: Rb3NaCd8
Source: the Alexandria database
Functional: PBE
Structure: relaxed

- Final energy: -1.02 eV per atom

a = 6.373 Å, b = 6.373 Å, c = 11.390 Å
α = 73.76°, β = 73.76°, γ = 60.00°
Element x y z (fractional)
Rb: 0.501 0.501 0.497
Cd: 0.688 0.688 0.935
Cd: 0.934 0.435 0.197
Cd: 0.435 0.435 0.197
Cd: 0.445 0.938 0.679
Rb: 0.999 0.999 0.004
Rb: 0.375 0.375 0.876
Cd: 0.435 0.934 0.197
Cd: 0.188 0.188 0.436
Cd: 0.938 0.938 0.679
Cd: 0.938 0.445 0.679
Na: 0.876 0.876 0.373



Record 2
Compound: RbNa6Cd2
Source: the Alexandria database
Functional: PBE
Structure: relaxed

- Final energy: -1.20 eV per atom

a = 5.700 Å, b = 5.700 Å, c = 10.270 Å
α = 90.00°, β = 90.00°, γ = 90.00°
Element x y z (fractional)
Na: 0.500 0.500 0.500
Na: 0.500 0.000 0.289
Cd: 0.500 0.500 0.143
Na: 0.500 0.000 0.711
Na: 0.000 0.500 0.711
Na: 0.000 0.500 0.289
Rb: 0.000 0.000 0.000
Na: 0.000 0.000 0.500
Cd: 0.500 0.500 0.857



Record 3
Compound: Rb6Na2Cd
Source: the Alexandria database
Functional: PBE
Structure: relaxed

- Final energy: -1.01 eV per atom

a = 7.129 Å, b = 7.129 Å, c = 14.133 Å
α = 75.39°, β = 75.39°, γ = 60.00°
Element x y z (fractional)
Cd: 0.000 0.000 0.000
Rb: 0.811 0.811 0.566
Rb: 0.189 0.189 0.434
Na: 0.080 0.080 0.761
Rb: 0.693 0.693 0.922
Na: 0.920 0.920 0.239
Rb: 0.576 0.576 0.272
Rb: 0.424 0.424 0.728
Rb: 0.307 0.307 0.078



Record 4
Compound: Rb2NaCd2
Source: the Alexandria database
Functional: PBE
Structure: relaxed

- Relative energy among the computed polymorphs: 27 meV/atom

a = 8.995 Å, b = 8.995 Å, c = 5.579 Å
α = 90.00°, β = 90.00°, γ = 90.00°
Element x y z (fractional)
Cd: 0.381 0.881 0.000
Rb: 0.822 0.322 0.500
Na: 0.500 0.500 0.000
Rb: 0.178 0.678 0.500
Cd: 0.119 0.381 0.000
Rb: 0.322 0.178 0.500
Rb: 0.678 0.822 0.500
Cd: 0.881 0.619 0.000
Na: 0.000 0.000 0.000
Cd: 0.619 0.119 0.000



Record 5
Compound: Rb3Na7Cd2
Source: the Alexandria database
Functional: PBE
Structure: relaxed

- Final energy: -1.17 eV per atom

a = 7.472 Å, b = 7.472 Å, c = 11.855 Å
α = 71.63°, β = 71.63°, γ = 60.00°
Element x y z (fractional)
Na: 0.500 0.500 0.500
Rb: 0.000 0.000 0.000
Rb: 0.857 0.857 0.429
Na: 0.073 0.572 0.783
Na: 0.572 0.073 0.783
Na: 0.572 0.572 0.783
Na: 0.927 0.428 0.217
Cd: 0.333 0.333 0.000
Rb: 0.143 0.143 0.571
Na: 0.428 0.927 0.217
Na: 0.428 0.428 0.217
Cd: 0.667 0.667 0.000



Record 6
Compound: Rb12NaCd6
Source: the Alexandria database
Functional: PBE
Structure: relaxed

- Final energy: -0.97 eV per atom

a = 11.379 Å, b = 11.379 Å, c = 11.379 Å
α = 109.47°, β = 109.47°, γ = 109.47°
Element x y z (fractional)
Cd: 0.612 0.500 0.112
Rb: 0.109 0.813 0.297
Rb: 0.484 0.187 0.297
Cd: 0.888 0.388 0.500
Cd: 0.500 0.888 0.388
Cd: 0.112 0.612 0.500
Cd: 0.388 0.500 0.888
Rb: 0.297 0.484 0.187
Rb: 0.516 0.813 0.703
Rb: 0.187 0.703 0.891
Na: 0.000 0.000 0.000
Rb: 0.703 0.516 0.813
Rb: 0.703 0.891 0.187
Rb: 0.891 0.187 0.703
Rb: 0.813 0.703 0.516
Rb: 0.813 0.297 0.109
Rb: 0.297 0.109 0.813
Cd: 0.500 0.112 0.612
Rb: 0.187 0.297 0.484



Record 7
Compound: Rb2Na9Cd4
Source: the Alexandria database
Functional: PBE
Structure: relaxed

- Final energy: -1.18 eV per atom

a = 5.548 Å, b = 5.548 Å, c = 20.717 Å
α = 90.00°, β = 90.00°, γ = 120.00°
Element x y z (fractional)
Cd: 0.333 0.667 0.397
Rb: 0.333 0.667 0.767
Cd: 0.667 0.333 0.883
Na: 0.000 0.000 0.344
Na: 0.000 0.000 0.500
Na: 0.000 0.000 0.656
Na: 0.667 0.333 0.439
Na: 0.000 0.000 0.903
Na: 0.667 0.333 0.040
Rb: 0.667 0.333 0.233
Cd: 0.667 0.333 0.603
Na: 0.333 0.667 0.960
Na: 0.000 0.000 0.097
Na: 0.333 0.667 0.561
Cd: 0.333 0.667 0.117



Record 8
Compound: RbNa4Cd4
Source: the Alexandria database
Functional: PBE
Structure: relaxed

- Relative energy among the computed polymorphs: 0 meV/atom

a = 6.974 Å, b = 6.974 Å, c = 11.853 Å
α = 90.00°, β = 90.00°, γ = 90.00°
Element x y z (fractional)
Rb: 0.000 0.000 0.000
Cd: 0.500 0.786 0.056
Cd: 0.000 0.714 0.444
Na: 0.231 0.500 0.216
Cd: 0.000 0.286 0.444
Na: 0.731 0.000 0.284
Cd: 0.214 0.500 0.944
Cd: 0.714 0.000 0.556
Na: 0.269 0.000 0.284
Na: 0.500 0.231 0.784
Cd: 0.500 0.214 0.056
Cd: 0.786 0.500 0.944
Na: 0.500 0.769 0.784
Na: 0.769 0.500 0.216
Cd: 0.286 0.000 0.556
Rb: 0.500 0.500 0.500
Na: 0.000 0.269 0.716
Na: 0.000 0.731 0.716



N(E_F) list, top to bottom, in states/eV per atom: 0.3902 0.4625 0.7444 0.5335 0.5167 0.7304 0.4910 0.4841
Size of the total moment list, top to bottom, in μB per formula unit: 0.0 0.0 0.0 0.0 0.0 0.0 0.0 0.0
Volume list, top to bottom, in Å³ per cell: 379 334 595 451 534 1134 552 577